Material: AsPd
Method: DFT, PBE
State: relaxed

Cell: 7.4261 7.4261 4.9473 Å, 90.00 90.00 120.00°
Atoms (fractional coordinates):
As 0.0311 0.7267 0.2500
As 0.2733 0.3044 0.2500
As 0.3044 0.0311 0.7500
As 0.6956 0.9689 0.2500
As 0.7267 0.6956 0.7500
As 0.9689 0.2733 0.7500
Pd 0.0405 0.6349 0.7500
Pd 0.3651 0.4056 0.7500
Pd 0.4056 0.0405 0.2500
Pd 0.5944 0.9595 0.7500
Pd 0.6349 0.5944 0.2500
Pd 0.9595 0.3651 0.2500

Results
- mass density (Mg/m³) = 7.65
- space group = P6_3/m
- DFT formation energy (eV/atom) = -0.183